(1)
This record from the Alexandria database describes a geometry-optimized Mn2NbSbH structure. The functional is PBE.

Computed properties:
raw total energy = -36.11 eV per formula unit
space-group type = P4/mmm (123)

Cell lengths 3.9935, 3.9935, 4.1397 Å; angles 90.00, 90.00, 90.00 degrees
Element x y z (fractional)
Mn 0.0000 0.5000 0.0000
Mn 0.5000 0.0000 0.0000
Nb 0.0000 0.0000 0.5000
Sb 0.5000 0.5000 0.5000
H 0.0000 0.0000 0.0000

(2)
This record from the Alexandria database describes a geometry-optimized MnNb2SbH structure. The functional is PBE.

Computed properties:
raw total energy = -37.31 eV per formula unit
space-group type = P4/mmm (123)

Cell lengths 4.1180, 4.1180, 4.2590 Å; angles 90.00, 90.00, 90.00 degrees
Element x y z (fractional)
Mn 0.0000 0.0000 0.0000
Nb 0.0000 0.5000 0.5000
Nb 0.5000 0.0000 0.5000
Sb 0.5000 0.5000 0.0000
H 0.0000 0.0000 0.5000

(3)
This record from the Alexandria database describes a geometry-optimized Mn2NbSiH structure. The functional is PBE.

Computed properties:
raw total energy = -38.19 eV per formula unit
space-group type = P4/mmm (123)

Cell lengths 3.7553, 3.7553, 4.0309 Å; angles 90.00, 90.00, 90.00 degrees
Element x y z (fractional)
Mn 0.0000 0.5000 0.0000
Mn 0.5000 0.0000 0.0000
Nb 0.0000 0.0000 0.5000
Si 0.5000 0.5000 0.5000
H 0.0000 0.0000 0.0000

Q: Which of these has the lowest raw total energy?
A: Mn2NbSiH

Repeat the first record exactly.
This record from the Alexandria database describes a geometry-optimized Mn2NbSbH structure. The functional is PBE.

Computed properties:
raw total energy = -36.11 eV per formula unit
space-group type = P4/mmm (123)

Cell lengths 3.9935, 3.9935, 4.1397 Å; angles 90.00, 90.00, 90.00 degrees
Element x y z (fractional)
Mn 0.0000 0.5000 0.0000
Mn 0.5000 0.0000 0.0000
Nb 0.0000 0.0000 0.5000
Sb 0.5000 0.5000 0.5000
H 0.0000 0.0000 0.0000

Q: Look up the raw total energy of the second one.
A: -37.31 eV per formula unit

Q: Which of these has the lowest raw total energy?
A: Mn2NbSiH